[1]
Crystalline La8Y6Cd at its relaxed geometry, computed with GGA-PBE.

Cell lengths 6.7154, 9.4043, 9.4043 Å; angles 120.00, 90.00, 90.00 degrees
Fractional coordinates of all 15 atoms:
La: 0.8275 0.0479 0.2790
La: 0.8275 0.7210 0.7689
La: 0.8275 0.2311 0.9521
La: 0.1725 0.9521 0.7210
La: 0.1725 0.2790 0.2311
La: 0.1725 0.7689 0.0479
La: 0.8679 0.3333 0.6667
La: 0.1321 0.6667 0.3333
Y: 0.6550 0.6567 0.1004
Y: 0.6550 0.8996 0.5563
Y: 0.6550 0.4437 0.3433
Y: 0.3450 0.3433 0.8996
Y: 0.3450 0.1004 0.4437
Y: 0.3450 0.5563 0.6567
Cd: 0.5000 0.0000 0.0000

crystal system = trigonal
symmetry = P-3 (147)



[2]
Crystalline La6YCd2 at its relaxed geometry, computed with GGA-PBE.

Cell lengths 3.8954, 6.9052, 12.1666 Å; angles 75.19, 80.79, 73.62 degrees
Fractional coordinates of all 9 atoms:
La: 0.6834 0.5095 0.1237
La: 0.3166 0.4905 0.8763
La: 0.3081 0.7919 0.5919
La: 0.9792 0.7047 0.3369
La: 0.0208 0.2953 0.6631
La: 0.6919 0.2081 0.4081
Y: 0.0000 0.0000 0.0000
Cd: 0.3606 0.0857 0.1932
Cd: 0.6394 0.9143 0.8068

crystal system = monoclinic
symmetry = C2/m (12)



[3]
Crystalline La5YCd6 at its relaxed geometry, computed with GGA-PBE.

Cell lengths 5.5038, 7.8391, 8.7367 Å; angles 90.00, 71.61, 90.00 degrees
Fractional coordinates of all 12 atoms:
Y: 0.0000 0.0000 0.0000
La: 0.6710 0.5000 0.6585
La: 0.3332 0.0000 0.3333
La: 0.0000 0.5000 0.0000
La: 0.6668 0.0000 0.6667
La: 0.3290 0.5000 0.3415
Cd: 0.8386 0.7570 0.3221
Cd: 0.8386 0.2430 0.3221
Cd: 0.5000 0.2407 0.0000
Cd: 0.5000 0.7593 0.0000
Cd: 0.1614 0.7570 0.6779
Cd: 0.1614 0.2430 0.6779

crystal system = orthorhombic
symmetry = Cmmm (65)



[4]
Crystalline La12YCd3 at its relaxed geometry, computed with GGA-PBE.

Cell lengths 5.0986, 5.0986, 20.5593 Å; angles 90.00, 90.00, 90.00 degrees
Fractional coordinates of all 16 atoms:
La: 0.5000 0.5000 0.0000
La: 0.5000 0.5000 0.2523
La: 0.5000 0.5000 0.5000
La: 0.5000 0.5000 0.7477
La: 0.5000 0.0000 0.1295
La: 0.5000 0.0000 0.3769
La: 0.5000 0.0000 0.6231
La: 0.5000 0.0000 0.8705
La: 0.0000 0.5000 0.1295
La: 0.0000 0.5000 0.3769
La: 0.0000 0.5000 0.6231
La: 0.0000 0.5000 0.8705
Y: 0.0000 0.0000 0.0000
Cd: 0.0000 0.0000 0.2552
Cd: 0.0000 0.0000 0.5000
Cd: 0.0000 0.0000 0.7448

crystal system = tetragonal
symmetry = P4/mmm (123)



[5]
Crystalline LaY2Cd at its relaxed geometry, computed with GGA-PBE.

Cell lengths 3.6618, 3.6618, 11.1511 Å; angles 80.55, 80.55, 60.00 degrees
Fractional coordinates of all 4 atoms:
La: 0.5002 0.5002 0.4994
Y: 0.0743 0.0743 0.7772
Y: 0.2591 0.2591 0.2226
Cd: 0.6664 0.6664 0.0007

crystal system = trigonal
symmetry = R3m (160)



[6]
Crystalline LaY2Cd at its relaxed geometry, computed with GGA-PBE.

Cell lengths 4.7149, 4.7149, 11.9588 Å; angles 78.63, 78.63, 90.00 degrees
Fractional coordinates of all 8 atoms:
Y: 0.6102 0.1250 0.2500
Y: 0.1398 0.6250 0.2500
Y: 0.3750 0.3898 0.7500
Y: 0.8750 0.8602 0.7500
Cd: 0.5000 0.5000 0.0000
Cd: 0.2500 0.7500 0.5000
La: 0.0000 0.0000 0.0000
La: 0.7500 0.2500 0.5000

crystal system = tetragonal
symmetry = I-42d (122)



[7]
Crystalline LaYCd3 at its relaxed geometry, computed with GGA-PBE.

Cell lengths 5.7248, 5.7248, 5.7248 Å; angles 90.00, 90.00, 90.00 degrees
Fractional coordinates of all 5 atoms:
Y: 0.5000 0.5000 0.5000
Cd: 0.0000 0.5000 0.0000
Cd: 0.0000 0.0000 0.5000
Cd: 0.5000 0.0000 0.0000
La: 0.0000 0.0000 0.0000

crystal system = cubic
energy above the lowest structure with this stoichiometry = 1055 meV per atom
symmetry = Pm-3m (221)



[8]
Crystalline LaY2Cd2 at its relaxed geometry, computed with GGA-PBE.

Cell lengths 8.8352, 8.8352, 3.7789 Å; angles 90.00, 90.00, 90.00 degrees
Fractional coordinates of all 10 atoms:
Y: 0.1695 0.6695 0.5000
Y: 0.6695 0.8305 0.5000
Y: 0.8305 0.3305 0.5000
Y: 0.3305 0.1695 0.5000
Cd: 0.3730 0.8730 0.0000
Cd: 0.8730 0.6270 0.0000
Cd: 0.6270 0.1270 0.0000
Cd: 0.1270 0.3730 0.0000
La: 0.0000 0.0000 0.0000
La: 0.5000 0.5000 0.0000

crystal system = tetragonal
energy above the lowest structure with this stoichiometry = 50 meV per atom
symmetry = P4/mbm (127)



| no. | formation energy (eV/atom) | calculated volume (A^3/atom) |
| --- | --- | --- |
| 1 | 0.085 | 34.290 |
| 2 | -0.142 | 33.574 |
| 3 | -0.327 | 29.807 |
| 4 | -0.093 | 33.404 |
| 5 | -0.059 | 31.786 |
| 6 | 0.144 | 31.913 |
| 7 | 0.718 | 37.524 |
| 8 | -0.212 | 29.499 |